[1]
Entry from the Alexandria database: a relaxed Pm3Nd2ErTe6 crystal (PBE).

Output
Uncorrected formation energy (eV/atom): -1.38

Cell: 19.4124 4.4247 8.9558 Å, 90.00 102.83 90.00°
Space group C2/m (No. 12)
Inequivalent atoms, fractional coordinates:
1 Pm 0.0000 0.0000 0.0000 [2 per cell]
2 Pm 0.1734 0.5000 0.3350 [4 per cell]
3 Nd 0.1705 0.5000 0.8367 [4 per cell]
4 Er 0.0000 0.0000 0.5000 [2 per cell]
5 Te 0.0019 0.5000 0.2599 [4 per cell]
6 Te 0.1602 0.0000 0.5782 [4 per cell]
7 Te 0.1640 0.0000 0.0841 [4 per cell]

***

[2]
Entry from the Alexandria database: a relaxed Sr2CuTe crystal (PBE).

Output
Uncorrected formation energy (eV/atom): -0.73

Cell: 8.0412 4.6307 8.0226 Å, 90.00 109.37 90.00°
Space group C2/m (No. 12)
Inequivalent atoms, fractional coordinates:
1 Sr 0.2459 0.0000 0.2369 [4 per cell]
2 Cu 0.0000 0.5000 0.0000 [2 per cell]
3 Te 0.0000 0.0000 0.5000 [2 per cell]

***

[3]
Entry from the Alexandria database: a relaxed ZrAs2Br crystal (PBE).

Output
E above lowest polymorph (eV per formula unit): 2.06
Uncorrected formation energy (eV/atom): -0.11

Cell: 5.3046 9.8239 3.2541 Å, 90.00 90.08 90.00°
Space group C2/m (No. 12)
Inequivalent atoms, fractional coordinates:
1 Zr 0.0000 0.0000 0.0000 [2 per cell]
2 As 0.2500 0.2500 0.5000 [4 per cell]
3 Br 0.0000 0.5000 0.0000 [2 per cell]

***

[4]
Entry from the Alexandria database: a relaxed Ac8Ge3BiTe4 crystal (PBE).

Output
Uncorrected formation energy (eV/atom): -1.23

Cell: 9.4353 9.4353 23.3287 Å, 90.00 90.00 120.00°
Space group R-3m (No. 166, hexagonal axes)
Inequivalent atoms, fractional coordinates:
1 Ac 0.0000 0.0000 0.2413 [6 per cell]
2 Ac 0.0119 0.5059 0.7570 [18 per cell]
3 Ge 0.0000 0.5000 0.5000 [9 per cell]
4 Bi 0.0000 0.0000 0.5000 [3 per cell]
5 Te 0.0000 0.0000 0.0000 [3 per cell]
6 Te 0.0000 0.5000 0.0000 [9 per cell]

***

[5]
Entry from the Alexandria database: a relaxed AlSi2BiS crystal (PBE).

Output
Uncorrected formation energy (eV/atom): 0.86

Cell: 4.6224 4.6224 5.7788 Å, 90.00 90.00 90.00°
Space group P4/mmm (No. 123)
Inequivalent atoms, fractional coordinates:
1 Al 0.0000 0.0000 0.0000 [1 per cell]
2 Si 0.0000 0.5000 0.0000 [2 per cell]
3 Bi 0.0000 0.0000 0.5000 [1 per cell]
4 S 0.5000 0.5000 0.5000 [1 per cell]

***

[6]
Entry from the Alexandria database: a relaxed K2PuHgTe4 crystal (PBE).

Output
Uncorrected formation energy (eV/atom): -0.65

Cell: 8.4872 8.4872 7.7111 Å, 90.00 90.00 90.00°
Space group I-42m (No. 121)
Inequivalent atoms, fractional coordinates:
1 K 0.0000 0.5000 0.0000 [4 per cell]
2 Pu 0.0000 0.0000 0.0000 [2 per cell]
3 Hg 0.0000 0.0000 0.5000 [2 per cell]
4 Te 0.1877 0.1877 0.2634 [8 per cell]